Computed, not measured: SrOs2Pb after structural relaxation at the PBE-GGA level of DFT.

Values from the calculation:
Energy of formation: 1.10 eV per atom
Raw total energy: -23.4 eV/cell
Symmetry: No. 123

Lattice parameters (Å, degrees): 4.3686 4.3686 4.2666 90.00 90.00 90.00
Last column: nearest neighbours and their distance in Å.
Atoms (fractional coordinates):
1 Os 0.5000 0.5000 0.0000  4 Pb 3.05, 4 Sr 3.05, 4 Os 3.09
2 Sr 0.0000 0.5000 0.5000  8 Os 3.05, 4 Pb 3.09
3 Pb 0.5000 0.0000 0.5000  8 Os 3.05, 4 Sr 3.09
4 Os 0.0000 0.0000 0.0000  4 Pb 3.05, 4 Sr 3.05, 4 Os 3.09

=====

Computed, not measured: SrOs2Pb after structural relaxation at the PBE-GGA level of DFT.

Values from the calculation:
Energy of formation: 1.00 eV per atom
Raw total energy: -23.8 eV/cell
Symmetry: No. 47

Lattice parameters (Å, degrees): 3.0850 4.4273 6.4965 90.00 90.00 90.00
Last column: nearest neighbours and their distance in Å.
Atoms (fractional coordinates):
1 Os 0.0000 0.0000 0.0636  1 Os 2.42
2 Pb 0.5000 0.5000 0.2500  8 Os 2.96, 2 Pb 3.09, 2 Sr 3.25
3 Sr 0.5000 0.5000 0.7500  2 Sr 3.09, 2 Pb 3.25, 8 Os 3.38
4 Os 0.0000 0.0000 0.4364  1 Os 2.42

=====

Computed, not measured: SrOs2Pb after structural relaxation at the PBE-GGA level of DFT.

Values from the calculation:
Energy of formation: 0.77 eV per atom
Raw total energy: -24.8 eV/cell
Symmetry: No. 44

Lattice parameters (Å, degrees): 6.2930 6.2930 6.2930 151.95 131.02 57.39
Last column: nearest neighbours and their distance in Å.
Atoms (fractional coordinates):
1 Os 0.7686 0.2686 0.5000  2 Os 2.53
2 Os 0.9511 0.9511 0.0000  2 Os 2.53
3 Sr 0.2434 0.7434 0.5000  4 Os 3.03, 2 Sr 3.05
4 Pb 0.5369 0.5369 0.0000  6 Os 2.98-3.17, 2 Pb 3.05

=====

Computed, not measured: Sr2OsPb after structural relaxation at the PBE-GGA level of DFT.

Values from the calculation:
Energy of formation: 0.34 eV per atom
Raw total energy: -16.9 eV/cell
Symmetry: No. 99

Lattice parameters (Å, degrees): 3.6392 3.6392 9.2887 90.00 90.00 90.00
Last column: nearest neighbours and their distance in Å.
Atoms (fractional coordinates):
1 Sr 0.0000 0.0000 0.9333  4 Pb 3.45, 1 Os 3.57, 4 Sr 3.64
2 Os 0.0000 0.0000 0.5493  4 Pb 2.87
3 Pb 0.5000 0.5000 0.6867  4 Os 2.87
4 Sr 0.5000 0.5000 0.3306  4 Os 3.28, 1 Pb 3.31, 4 Sr 3.64